Entry 1:
A plane-wave DFT calculation with PBE was carried out for an optimized crystal structure of PrErSi2Mo2C.

Calculated values
E_tot = -7.845 eV per atom

Structure (CIF):
```
data_PrErSi2Mo2C
_cell_length_a 11.197
_cell_length_b 3.870
_cell_length_c 7.251
_cell_angle_alpha 90.00
_cell_angle_beta 125.87
_cell_angle_gamma 90.00
_symmetry_space_group_name_H-M 'C 1 m 1'
_symmetry_Int_Tables_number 8
loop_
_symmetry_equiv_pos_as_xyz
'x,y,z'
'x,-y,z'
'x+1/2,y+1/2,z'
'x+1/2,-y+1/2,z'
loop_
_atom_site_label
_atom_site_type_symbol
_atom_site_fract_x
_atom_site_fract_y
_atom_site_fract_z
_atom_site_occupancy
Pr1 Pr 0.000 0.000 0.000 1
Er1 Er 0.150 0.000 0.595 1
Si1 Si 0.210 0.500 0.967 1
Si2 Si 0.445 0.000 0.630 1
Mo1 Mo 0.284 0.500 0.385 1
Mo2 Mo 0.372 0.000 0.222 1
C1 C 0.081 0.500 0.314 1
```

Entry 2:
A plane-wave DFT calculation with PBE was carried out for an optimized crystal structure of CsTbSe4.

Calculated values
E_tot = -3.845 eV per atom

Structure (CIF):
```
data_CsTbSe4
_cell_length_a 7.839
_cell_length_b 9.438
_cell_length_c 6.046
_cell_angle_alpha 90.00
_cell_angle_beta 90.00
_cell_angle_gamma 90.00
_symmetry_space_group_name_H-M 'C m m m'
_symmetry_Int_Tables_number 65
_symmetry_space_group_name_Hall '-C 2 2'
loop_
_atom_site_label
_atom_site_type_symbol
_atom_site_fract_x
_atom_site_fract_y
_atom_site_fract_z
_atom_site_occupancy
Cs1 Cs 0.000 0.000 0.000 1
Tb1 Tb 0.000 0.500 0.500 1
Se1 Se 0.000 0.376 0.000 1
Se2 Se 0.165 0.000 0.500 1
```

Entry 3:
A plane-wave DFT calculation with PBE was carried out for an optimized crystal structure of YLuCoSb.

Calculated values
E_tot = -5.511 eV per atom
Energy relative to the lowest polymorph listed for this composition = 0.00 eV per formula unit

Structure (CIF):
```
data_YLuCoSb
_cell_length_a 6.948
_cell_length_b 6.948
_cell_length_c 6.948
_cell_angle_alpha 90.00
_cell_angle_beta 90.00
_cell_angle_gamma 90.00
_symmetry_space_group_name_H-M 'F -4 3 m'
_symmetry_Int_Tables_number 216
_symmetry_space_group_name_Hall 'F -4 2 3'
loop_
_atom_site_label
_atom_site_type_symbol
_atom_site_fract_x
_atom_site_fract_y
_atom_site_fract_z
_atom_site_occupancy
Y1 Y 0.000 0.000 0.000 1
Lu1 Lu 0.250 0.250 0.750 1
Co1 Co 0.000 0.000 0.500 1
Sb1 Sb 0.250 0.250 0.250 1
```

Entry 4:
A plane-wave DFT calculation with PBE was carried out for an optimized crystal structure of YScBeNi.

Calculated values
E_tot = -5.697 eV per atom
Energy relative to the lowest polymorph listed for this composition = 0.00 eV per formula unit

Structure (CIF):
```
data_YScBeNi
_cell_length_a 6.584
_cell_length_b 6.584
_cell_length_c 6.584
_cell_angle_alpha 90.00
_cell_angle_beta 90.00
_cell_angle_gamma 90.00
_symmetry_space_group_name_H-M 'F -4 3 m'
_symmetry_Int_Tables_number 216
_symmetry_space_group_name_Hall 'F -4 2 3'
loop_
_atom_site_label
_atom_site_type_symbol
_atom_site_fract_x
_atom_site_fract_y
_atom_site_fract_z
_atom_site_occupancy
Y1 Y 0.000 0.000 0.000 1
Sc1 Sc 0.000 0.000 0.500 1
Be1 Be 0.250 0.250 0.750 1
Ni1 Ni 0.250 0.250 0.250 1
```

Entry 5:
A plane-wave DFT calculation with PBE was carried out for an optimized crystal structure of LiCuBiPt.

Calculated values
E_tot = -4.112 eV per atom
Energy relative to the lowest polymorph listed for this composition = 0.12 eV per formula unit

Structure (CIF):
```
data_LiCuBiPt
_cell_length_a 6.427
_cell_length_b 6.427
_cell_length_c 6.427
_cell_angle_alpha 90.00
_cell_angle_beta 90.00
_cell_angle_gamma 90.00
_symmetry_space_group_name_H-M 'F -4 3 m'
_symmetry_Int_Tables_number 216
_symmetry_space_group_name_Hall 'F -4 2 3'
loop_
_atom_site_label
_atom_site_type_symbol
_atom_site_fract_x
_atom_site_fract_y
_atom_site_fract_z
_atom_site_occupancy
Li1 Li 0.000 0.000 0.000 1
Cu1 Cu 0.000 0.000 0.500 1
Bi1 Bi 0.250 0.250 0.250 1
Pt1 Pt 0.250 0.250 0.750 1
```

Entry 6:
A plane-wave DFT calculation with PBE was carried out for an optimized crystal structure of Sm2AgTe3.

Calculated values
E_tot = -4.615 eV per atom
Energy relative to the lowest polymorph listed for this composition = 0.40 eV per formula unit

Structure (CIF):
```
data_Sm2AgTe3
_cell_length_a 9.299
_cell_length_b 4.296
_cell_length_c 17.533
_cell_angle_alpha 90.00
_cell_angle_beta 90.00
_cell_angle_gamma 90.00
_symmetry_space_group_name_H-M 'P n m a'
_symmetry_Int_Tables_number 62
loop_
_symmetry_equiv_pos_as_xyz
'x,y,z'
'-x,-y,-z'
'-x+1/2,-y,z+1/2'
'x+1/2,y,-z+1/2'
'x+1/2,-y+1/2,-z+1/2'
'-x+1/2,y+1/2,z+1/2'
'-x,y+1/2,-z'
'x,-y+1/2,z'
loop_
_atom_site_label
_atom_site_type_symbol
_atom_site_fract_x
_atom_site_fract_y
_atom_site_fract_z
_atom_site_occupancy
Sm1 Sm 0.041 0.250 0.216 1
Sm2 Sm 0.248 0.750 0.475 1
Ag1 Ag 0.138 0.250 0.635 1
Te1 Te 0.030 0.250 0.405 1
Te2 Te 0.084 0.750 0.078 1
Te3 Te 0.222 0.250 0.788 1
```

Entry 7:
A plane-wave DFT calculation with PBE was carried out for an optimized crystal structure of HoNi.

Calculated values
E_tot = -5.302 eV per atom
Formation energy from the elements = -0.230 eV per atom

Structure (CIF):
```
data_HoNi
_cell_length_a 3.7599
_cell_length_b 3.7599
_cell_length_c 9.9226
_cell_angle_alpha 90.00
_cell_angle_beta 90.00
_cell_angle_gamma 120.00
_symmetry_space_group_name_H-M 'R -3 m'
_symmetry_Int_Tables_number 166
_symmetry_space_group_name_Hall '-R 3 2"'
loop_
_atom_site_label
_atom_site_type_symbol
_atom_site_fract_x
_atom_site_fract_y
_atom_site_fract_z
_atom_site_occupancy
Ho1 Ho 0.0000 0.0000 0.0000 1
Ni1 Ni 0.0000 0.0000 0.5000 1
```

Entry 8:
A plane-wave DFT calculation with PBE was carried out for an optimized crystal structure of Tc2C.

Calculated values
E_tot = -10.008 eV per atom
Energy relative to the lowest polymorph listed for this composition = 0.00 eV per formula unit

Structure (CIF):
```
data_Tc2C
_cell_length_a 2.8476
_cell_length_b 2.8476
_cell_length_c 9.8163
_cell_angle_alpha 90.00
_cell_angle_beta 90.00
_cell_angle_gamma 120.00
_symmetry_space_group_name_H-M 'P 63/m m c'
_symmetry_Int_Tables_number 194
_symmetry_space_group_name_Hall '-P 6c 2c'
loop_
_atom_site_label
_atom_site_type_symbol
_atom_site_fract_x
_atom_site_fract_y
_atom_site_fract_z
_atom_site_occupancy
Tc1 Tc 0.3333 0.6667 0.1090 1
C1 C 0.3333 0.6667 0.7500 1
```